The following is a DFT calculation (PBE-GGA) of a relaxed LiCa2Zn crystal.

Values from the calculation:
- N(E_F): 0.705 states/eV per atom
- V: 27.8 Å³/atom
- Energy of formation: -2.8 kcal/mol of atoms
- Total magnetic moment: 0.00 μB/cell
- Calculated density: 2.3 g/cm³
- Energy: -1.9201 eV/atom

Cell lengths 3.7193, 3.7193, 8.0291 Å; angles 90.00, 90.00, 90.00 degrees
Positions (direct):
Zn 0.5000 0.5000 0.0000
Li 0.5000 0.5000 0.5000
Ca 0.0000 0.0000 0.7764
Ca 0.0000 0.0000 0.2236